1.
The following is a DFT calculation (PBE) of crystalline AcHgPd4 at its relaxed geometry.

Cell: 5.5162 5.5162 5.5162 Å, 60.00 60.00 60.00°
Fractional positions:
Hg  0.0000  0.0000  0.0000
Pd  0.3744  0.8769  0.3744
Pd  0.8769  0.3744  0.3744
Pd  0.3744  0.3744  0.8769
Pd  0.3744  0.3744  0.3744
Ac  0.7500  0.7500  0.7500

Values from the calculation:
Its space group is No. 216.

2.
The following is a DFT calculation (PBE) of crystalline Ac3HgPd8 at its relaxed geometry.

Cell: 9.7218 9.7218 9.7218 Å, 33.52 33.52 33.52°
Fractional positions:
Pd  0.4370  0.9433  0.4371
Pd  0.9384  0.9384  0.4361
Pd  0.9433  0.4370  0.4371
Pd  0.6883  0.6883  0.6883
Pd  0.4370  0.4370  0.9433
Pd  0.9384  0.4361  0.9384
Pd  0.4361  0.9384  0.9384
Pd  0.1885  0.1885  0.1885
Ac  0.3787  0.3787  0.3787
Ac  0.9886  0.9886  0.9886
Ac  0.5090  0.5090  0.5090
Hg  0.8665  0.8665  0.8665

Values from the calculation:
Its space group is No. 160.

3.
The following is a DFT calculation (PBE) of crystalline Ac3HgPt8 at its relaxed geometry.

Cell: 9.6995 9.6995 9.6995 Å, 33.54 33.54 33.54°
Fractional positions:
Pt  0.5639  0.0621  0.0621
Pt  0.0621  0.0621  0.5639
Pt  0.5633  0.5633  0.0569
Pt  0.5633  0.0569  0.5633
Pt  0.8116  0.8116  0.8116
Pt  0.0569  0.5633  0.5633
Pt  0.3119  0.3119  0.3119
Pt  0.0621  0.5639  0.0621
Ac  0.4929  0.4929  0.4929
Ac  0.0087  0.0087  0.0087
Ac  0.6222  0.6222  0.6222
Hg  0.1312  0.1312  0.1312

Values from the calculation:
Its space group is No. 160.

| no. | total moment (μB/f.u.) | energy relative to the elements (eV/atom) |
| --- | --- | --- |
| 1 | 0.0 | -0.63 |
| 2 | 0.0 | -0.73 |
| 3 | 0.0 | -0.90 |